(1)
VASP calculation (PBE-GGA) on a relaxed structure of ErPb4.

a b c (Å): 5.8149 5.8149 5.8149
angles (deg): 90.00 90.00 90.00
With the nearest neighbours (Å) after each atom.
Element x y z (fractional)
Pb 0.0000 0.0000 0.0000  12 Pb 4.11
Pb 0.5000 0.0000 0.5000  2 Er 2.91
Pb 0.0000 0.5000 0.5000  2 Er 2.91
Pb 0.5000 0.5000 0.0000  2 Er 2.91
Er 0.5000 0.5000 0.5000  6 Pb 2.91

Summary:
Symmetry: Pm-3m
Formation energy from the elements in eV per formula unit: 2.0
Mass density in g cm⁻³: 8.4
Total moment in μB per cell: 0.00

=====

(2)
VASP calculation (PBE-GGA) on a relaxed structure of Er3Pb4.

a b c (Å): 6.9270 8.5095 8.5095
angles (deg): 112.93 105.74 105.74
With the nearest neighbours (Å) after each atom.
Element x y z (fractional)
Er 0.1014 0.6448 0.8951  7 Pb 3.10-3.42
Er 0.2063 0.1049 0.7497  7 Pb 3.10-3.42
Er 0.4566 0.2503 0.3552  7 Pb 3.10-3.42
Er 0.8986 0.3552 0.1049  7 Pb 3.10-3.42
Er 0.7937 0.8951 0.2503  7 Pb 3.10-3.42
Er 0.5434 0.7497 0.6448  7 Pb 3.10-3.42
Pb 0.5000 0.0000 0.0000  6 Er 3.10, 2 Pb 3.46
Pb 0.0000 0.0000 0.0000  6 Er 3.13, 2 Pb 3.46
Pb 0.8839 0.6437 0.4827  6 Er 3.20-3.50, 3 Pb 3.26-3.33
Pb 0.4011 0.5173 0.1609  6 Er 3.20-3.50, 3 Pb 3.26-3.33
Pb 0.2402 0.8391 0.3563  6 Er 3.20-3.50, 3 Pb 3.26-3.33
Pb 0.1161 0.3563 0.5173  6 Er 3.20-3.50, 3 Pb 3.26-3.33
Pb 0.5989 0.4827 0.8391  6 Er 3.20-3.50, 3 Pb 3.26-3.33
Pb 0.7598 0.1609 0.6437  6 Er 3.20-3.50, 3 Pb 3.26-3.33

Summary:
Symmetry: R-3
Formation energy from the elements in eV per formula unit: -2.5
Mass density in g cm⁻³: 11.0
Total moment in μB per cell: 0.00

=====

(3)
VASP calculation (PBE-GGA) on a relaxed structure of Er3Pb2.

a b c (Å): 5.2273 8.3830 11.1727
angles (deg): 91.32 90.00 108.17
With the nearest neighbours (Å) after each atom.
Element x y z (fractional)
Er 0.8392 0.6783 0.9938  5 Pb 3.10-3.42
Er 0.1608 0.3217 0.0062  5 Pb 3.10-3.42
Er 0.8275 0.6549 0.3396  5 Pb 3.10-3.42
Er 0.1725 0.3451 0.6604  5 Pb 3.10-3.42
Er 0.1666 0.3333 0.3332  6 Pb 3.30-3.31, 6 Er 3.65-3.66
Er 0.8334 0.6667 0.6668  6 Pb 3.30-3.31, 6 Er 3.65-3.66
Er 0.5058 0.0117 0.3271  5 Pb 3.10-3.42
Er 0.4942 0.9883 0.6729  5 Pb 3.10-3.42
Er 0.5000 0.0000 0.0000  6 Pb 3.30-3.31, 6 Er 3.65-3.66
Pb 0.6533 0.3067 0.5132  8 Er 3.10-3.42
Pb 0.3467 0.6933 0.4868  8 Er 3.10-3.42
Pb 0.6799 0.3598 0.1534  8 Er 3.10-3.42
Pb 0.3201 0.6402 0.8466  8 Er 3.10-3.42
Pb 0.9867 0.9733 0.1799  8 Er 3.10-3.42
Pb 0.0133 0.0267 0.8201  8 Er 3.10-3.42

Summary:
Symmetry: P-3m1
Formation energy from the elements in eV per formula unit: -1.5
Mass density in g cm⁻³: 9.8
Energy relative to the lowest polymorph listed for this composition in eV/f.u.: 0.22
Total moment in μB per cell: 0.00

=====

(4)
VASP calculation (PBE-GGA) on a relaxed structure of Er3Pb2.

a b c (Å): 6.1525 6.1525 8.8573
angles (deg): 110.32 110.32 90.00
With the nearest neighbours (Å) after each atom.
Element x y z (fractional)
Er 0.1324 0.8824 0.2648  2 Er 3.08, 2 Pb 3.12
Er 0.1324 0.3824 0.7648  2 Er 3.08, 2 Pb 3.12
Er 0.6324 0.3824 0.7648  2 Er 3.08, 2 Pb 3.12
Er 0.1324 0.3824 0.2648  2 Er 3.08, 2 Pb 3.12
Er 0.5075 0.0075 0.0149  6 Pb 3.07-3.17
Er 0.7575 0.7575 0.5149  6 Pb 3.07-3.17
Pb 0.9567 0.9567 0.9134  5 Er 3.07-3.17
Pb 0.7067 0.2067 0.4134  5 Er 3.07-3.17
Pb 0.5582 0.5582 0.1163  5 Er 3.08-3.17
Pb 0.3082 0.8082 0.6163  5 Er 3.08-3.17

Summary:
Symmetry: I4_1/amd
Formation energy from the elements in eV per formula unit: -1.8
Mass density in g cm⁻³: 10.4
Energy relative to the lowest polymorph listed for this composition in eV/f.u.: 0.00
Total moment in μB per cell: 0.00

=====

(5)
VASP calculation (PBE-GGA) on a relaxed structure of Er13Pb2.

a b c (Å): 6.7848 8.3786 8.8564
angles (deg): 113.49 77.86 96.64
With the nearest neighbours (Å) after each atom.
Element x y z (fractional)
Er 0.6850 0.6584 0.0298  11 Er 3.36-3.72
Er 0.3150 0.3416 0.9702  11 Er 3.36-3.72
Er 0.0000 0.0000 0.0000  6 Er 3.22-3.47, 2 Pb 3.23
Er 0.2645 0.0611 0.5830  2 Pb 3.17-3.25, 4 Er 3.32-3.54
Er 0.7355 0.9389 0.4170  2 Pb 3.17-3.25, 4 Er 3.32-3.54
Er 0.1198 0.5189 0.7411  2 Pb 3.19-3.23, 7 Er 3.34-3.50
Er 0.8802 0.4811 0.2589  2 Pb 3.19-3.23, 7 Er 3.34-3.50
Er 0.3761 0.5914 0.3857  2 Pb 3.39-3.49, 11 Er 3.48-3.71
Er 0.6239 0.4086 0.6143  2 Pb 3.39-3.49, 11 Er 3.48-3.71
Er 0.4803 0.8567 0.7963  1 Pb 3.17, 4 Er 3.47-3.53
Er 0.5197 0.1433 0.2037  1 Pb 3.17, 4 Er 3.47-3.53
Er 0.8094 0.2264 0.8491  8 Er 3.22-3.53
Er 0.1906 0.7736 0.1509  8 Er 3.22-3.53
Pb 0.9358 0.7720 0.6211  8 Er 3.17-3.49
Pb 0.0642 0.2280 0.3789  8 Er 3.17-3.49

Summary:
Symmetry: P-1
Formation energy from the elements in eV per formula unit: -1.6
Mass density in g cm⁻³: 9.5
Total moment in μB per cell: 0.01

=====

(6)
VASP calculation (PBE-GGA) on a relaxed structure of ErPb2.

a b c (Å): 3.9317 3.9317 6.3129
angles (deg): 109.24 109.24 86.54
With the nearest neighbours (Å) after each atom.
Element x y z (fractional)
Pb 0.1658 0.1658 0.3297  4 Er 3.27-3.42, 4 Pb 3.31-3.45
Pb 0.8342 0.8342 0.6703  4 Er 3.27-3.42, 4 Pb 3.31-3.45
Er 0.5000 0.5000 0.0000  8 Pb 3.27-3.42

Summary:
Symmetry: C2/m
Formation energy from the elements in eV per formula unit: -0.5
Mass density in g cm⁻³: 11.1
Total moment in μB per cell: 0.00